1.
Density functional theory data (GGA-PBE) for a relaxed RbBr3F crystal.

a b c (Å): 7.572 7.572 7.572
angles (deg): 119.85 119.85 90.27
Sites, in units of the cell vectors:
1 Rb 0.250 0.750 0.500
2 Rb 0.750 0.250 0.500
3 Br 0.205 0.205 0.000
4 Br 0.278 0.278 0.556
5 Br 0.278 0.722 0.000
6 Br 0.722 0.278 0.000
7 Br 0.722 0.722 0.444
8 Br 0.795 0.795 0.000
9 F 0.000 0.000 0.000
10 F 0.500 0.500 0.000

Summary:
The volume comes out at 30.8 Å³/atom. Its symmetry is I4/mmm. The value obtained for the uncorrected formation energy is -0.5835 eV per atom. The uncorrected energy is -21.55 eV/cell.

2.
Density functional theory data (GGA-PBE) for a relaxed Rb3Br3F crystal.

a b c (Å): 8.432 8.432 8.220
angles (deg): 97.76 97.76 111.20
Sites, in units of the cell vectors:
1 Rb 0.069 0.416 0.754
2 Rb 0.130 0.130 0.314
3 Rb 0.416 0.069 0.754
4 Rb 0.584 0.931 0.246
5 Rb 0.870 0.870 0.686
6 Rb 0.931 0.584 0.246
7 Br 0.175 0.825 0.000
8 Br 0.346 0.654 0.500
9 Br 0.482 0.482 0.140
10 Br 0.518 0.518 0.860
11 Br 0.654 0.346 0.500
12 Br 0.825 0.175 0.000
13 F 0.144 0.144 0.647
14 F 0.856 0.856 0.353

Summary:
The volume comes out at 37.8 Å³/atom. Its symmetry is C2/m. The value obtained for the uncorrected formation energy is -1.6994 eV per atom. The uncorrected energy is -43.38 eV/cell.

3.
Density functional theory data (GGA-PBE) for a relaxed RbBrF4 crystal.

a b c (Å): 6.859 6.859 6.491
angles (deg): 90.00 90.00 90.00
Sites, in units of the cell vectors:
1 Rb 0.000 0.000 0.000
2 Rb 0.500 0.500 0.500
3 Br 0.000 0.500 0.250
4 Br 0.500 0.000 0.750
5 F 0.200 0.300 0.250
6 F 0.200 0.700 0.250
7 F 0.300 0.200 0.750
8 F 0.300 0.800 0.750
9 F 0.700 0.200 0.750
10 F 0.700 0.800 0.750
11 F 0.800 0.300 0.250
12 F 0.800 0.700 0.250

Summary:
The volume comes out at 25.5 Å³/atom. Its symmetry is I-4m2. The value obtained for the uncorrected formation energy is -1.6518 eV per atom. The uncorrected energy is -40.07 eV/cell.

4.
Density functional theory data (GGA-PBE) for a relaxed Rb2ReBr6F crystal.

a b c (Å): 7.672 7.672 7.672
angles (deg): 121.00 121.00 88.28
Sites, in units of the cell vectors:
1 Rb 0.250 0.750 0.500
2 Rb 0.750 0.250 0.500
3 Re 0.000 0.000 0.000
4 Br 0.229 0.229 0.000
5 Br 0.236 0.236 0.472
6 Br 0.236 0.764 0.000
7 Br 0.764 0.236 0.000
8 Br 0.764 0.764 0.528
9 Br 0.771 0.771 0.000
10 F 0.500 0.500 0.000

Summary:
The volume comes out at 31.4 Å³/atom. Its symmetry is I4/mmm. The value obtained for the uncorrected formation energy is -0.9100 eV per atom. The uncorrected energy is -35.39 eV/cell.

5.
Density functional theory data (GGA-PBE) for a relaxed Rb2ReBr5F crystal.

a b c (Å): 7.513 7.513 7.513
angles (deg): 119.06 119.06 91.63
Sites, in units of the cell vectors:
1 Rb 0.000 0.500 0.500
2 Rb 0.500 0.000 0.500
3 Re 0.248 0.248 0.000
4 Br 0.007 0.007 0.000
5 Br 0.016 0.016 0.528
6 Br 0.016 0.487 0.000
7 Br 0.487 0.016 0.000
8 Br 0.487 0.487 0.472
9 F 0.436 0.436 0.000

Summary:
The volume comes out at 33.8 Å³/atom. Its symmetry is I4mm. The value obtained for the uncorrected formation energy is -1.2278 eV per atom. The uncorrected energy is -35.67 eV/cell.

6.
Density functional theory data (GGA-PBE) for a relaxed Rb3ReBr2F6 crystal.

a b c (Å): 9.334 9.334 5.244
angles (deg): 93.39 93.39 51.37
Sites, in units of the cell vectors:
1 Rb 0.000 0.000 0.000
2 Rb 0.000 0.500 0.500
3 Rb 0.500 0.000 0.500
4 Re 0.500 0.500 0.500
5 Br 0.195 0.195 0.991
6 Br 0.805 0.805 0.009
7 F 0.306 0.650 0.255
8 F 0.350 0.694 0.745
9 F 0.388 0.388 0.570
10 F 0.612 0.612 0.430
11 F 0.650 0.306 0.255
12 F 0.694 0.350 0.745

Summary:
The volume comes out at 29.7 Å³/atom. Its symmetry is C2/m. The value obtained for the uncorrected formation energy is -2.1394 eV per atom. The uncorrected energy is -55.60 eV/cell.

7.
Density functional theory data (GGA-PBE) for a relaxed RbReBr2F6 crystal.

a b c (Å): 6.645 8.775 8.829
angles (deg): 90.00 90.00 90.00
Sites, in units of the cell vectors:
1 Rb 0.250 0.250 0.124
2 Rb 0.750 0.750 0.876
3 Re 0.250 0.750 0.255
4 Re 0.750 0.250 0.745
5 Br 0.250 0.618 0.729
6 Br 0.250 0.882 0.729
7 Br 0.750 0.118 0.271
8 Br 0.750 0.382 0.271
9 F 0.041 0.750 0.401
10 F 0.045 0.750 0.099
11 F 0.250 0.530 0.253
12 F 0.250 0.970 0.253
13 F 0.455 0.750 0.099
14 F 0.459 0.750 0.401
15 F 0.541 0.250 0.599
16 F 0.545 0.250 0.901
17 F 0.750 0.030 0.747
18 F 0.750 0.470 0.747
19 F 0.955 0.250 0.901
20 F 0.959 0.250 0.599

Summary:
The volume comes out at 25.7 Å³/atom. Its symmetry is Pmmn. The value obtained for the uncorrected formation energy is -1.8541 eV per atom. The uncorrected energy is -93.06 eV/cell.

8.
Density functional theory data (GGA-PBE) for a relaxed Rb2RhBrF6 crystal.

a b c (Å): 6.769 6.769 6.769
angles (deg): 121.34 121.34 87.69
Sites, in units of the cell vectors:
1 Rb 0.250 0.750 0.500
2 Rb 0.750 0.250 0.500
3 Rh 0.000 0.000 0.000
4 Br 0.500 0.500 0.000
5 F 0.200 0.200 0.000
6 F 0.208 0.208 0.417
7 F 0.208 0.792 0.000
8 F 0.792 0.208 0.000
9 F 0.792 0.792 0.583
10 F 0.800 0.800 0.000

Summary:
The volume comes out at 21.5 Å³/atom. Its symmetry is I4/mmm. The value obtained for the uncorrected formation energy is -1.7983 eV per atom. The uncorrected energy is -40.17 eV/cell.